! Pr2Ge7Pd12 (PBE-GGA, optimized geometry); values from VASP
! - E_form: -66.2 kJ per mole of atoms
! - Magnetic moment: 0.00 μB per cell
&SYSTEM
  ibrav = 0, nat = 21, ntyp = 3
/
ATOMIC_SPECIES
Pd 106.42 Pd.upf
Ge 72.64 Ge.upf
Pr 140.91 Pr.upf
ATOMIC_POSITIONS crystal
Pd 0.249 0.439 0.381
Pd 0.751 0.561 0.619
Pd 0.753 0.888 0.742
Pd 0.751 0.059 0.439
Pd 0.249 0.619 0.059
Pd 0.247 0.742 0.854
Pd 0.247 0.146 0.888
Pd 0.753 0.854 0.112
Pd 0.751 0.381 0.941
Pd 0.753 0.258 0.146
Pd 0.247 0.112 0.258
Pd 0.249 0.941 0.561
Ge 0.749 0.289 0.406
Ge 0.251 0.711 0.594
Ge 0.749 0.117 0.711
Ge 0.251 0.883 0.289
Ge 0.251 0.406 0.117
Ge 0.749 0.594 0.883
Ge 0.500 0.000 0.000
Pr 0.245 0.333 0.667
Pr 0.755 0.667 0.333
CELL_PARAMETERS angstrom
3.952 0.000 0.000
0.000 8.917 -5.148
0.000 0.000 10.296

---

! Sr2BeAg (PBE-GGA, optimized geometry); values from VASP
! - E_form: 43.2 kJ per mole of atoms
! - Magnetic moment: 0.00 μB per cell
&SYSTEM
  ibrav = 0, nat = 8, ntyp = 3
/
ATOMIC_SPECIES
Sr 87.62 Sr.upf
Be 9.01 Be.upf
Ag 107.87 Ag.upf
ATOMIC_POSITIONS crystal
Sr 0.375 0.386 0.750
Sr 0.875 0.864 0.750
Sr 0.136 0.625 0.250
Sr 0.614 0.125 0.250
Be 0.500 0.500 0.000
Be 0.250 0.750 0.500
Ag 0.750 0.250 0.500
Ag 0.000 0.000 0.000
CELL_PARAMETERS angstrom
8.377 0.000 0.000
0.000 8.377 0.000
4.188 4.188 3.829

---

! BiAsHBr2 (PBE-GGA, optimized geometry); values from VASP
! - Excess energy over the best structure of this formula in the dataset: 0.0 meV/atom
! - Magnetic moment: 0.00 μB per cell
&SYSTEM
  ibrav = 0, nat = 5, ntyp = 4
/
ATOMIC_SPECIES
As 74.92 As.upf
Br 79.90 Br.upf
H 1.01 H.upf
Bi 208.98 Bi.upf
ATOMIC_POSITIONS crystal
As 0.000 0.000 0.500
Br 0.000 0.500 0.000
Br 0.500 0.000 0.000
H 0.000 0.000 0.000
Bi 0.500 0.500 0.500
CELL_PARAMETERS angstrom
5.515 0.000 0.000
0.000 5.515 0.000
0.000 0.000 3.583

---

! Mo7W5 (PBE-GGA, optimized geometry); values from VASP
! - Excess energy over the best structure of this formula in the dataset: 0.0 meV/atom
! - E_form: -1.2 kJ per mole of atoms
! - Magnetic moment: 0.00 μB per cell
&SYSTEM
  ibrav = 0, nat = 12, ntyp = 2
/
ATOMIC_SPECIES
Mo 95.94 Mo.upf
W 183.84 W.upf
ATOMIC_POSITIONS crystal
Mo 0.000 0.833 0.167
Mo 0.500 0.666 0.333
Mo 0.000 0.667 0.833
Mo 0.000 0.333 0.167
Mo 0.500 0.334 0.667
Mo 0.000 0.167 0.833
Mo 0.500 0.500 0.000
W 0.500 0.166 0.333
W 0.500 0.000 0.000
W 0.000 0.500 0.500
W 0.500 0.834 0.667
W 0.000 0.000 0.500
CELL_PARAMETERS angstrom
4.505 0.000 0.000
0.000 4.791 -2.664
0.000 -1.015 9.438

---

! NpNiMoP2 (PBE-GGA, optimized geometry); values from VASP
! - E_form: -53.2 kJ per mole of atoms
! - Magnetic moment: 4.03 μB per cell
&SYSTEM
  ibrav = 0, nat = 5, ntyp = 4
/
ATOMIC_SPECIES
Ni 58.69 Ni.upf
Np 237.00 Np.upf
Mo 95.94 Mo.upf
P 30.97 P.upf
ATOMIC_POSITIONS crystal
Ni 0.250 0.750 0.500
Np 0.000 0.000 0.000
Mo 0.750 0.250 0.500
P 0.622 0.622 0.244
P 0.378 0.378 0.756
CELL_PARAMETERS angstrom
3.871 0.000 0.000
0.000 3.871 0.000
-1.936 -1.936 5.279

---

! DyTl3Sb2Se6 (PBE-GGA, optimized geometry); values from VASP
! - E_tot: -49.25 eV per cell
! - Magnetic moment: 0.00 μB per cell
&SYSTEM
  ibrav = 0, nat = 12, ntyp = 4
/
ATOMIC_SPECIES
Dy 162.50 Dy.upf
Se 78.96 Se.upf
Tl 204.38 Tl.upf
Sb 121.76 Sb.upf
ATOMIC_POSITIONS crystal
Dy 0.000 0.000 0.000
Se 0.263 0.263 0.794
Se 0.931 0.599 0.793
Se 0.737 0.737 0.206
Se 0.401 0.069 0.207
Se 0.069 0.401 0.207
Se 0.599 0.931 0.793
Tl 0.500 0.500 0.500
Tl 0.166 0.834 0.500
Tl 0.834 0.166 0.500
Sb 0.334 0.666 0.000
Sb 0.666 0.334 0.000
CELL_PARAMETERS angstrom
7.309 -0.001 0.001
-3.654 6.331 0.001
-1.218 -2.110 7.654

---

Please write out number 2 again, unchanged.
! Sr2BeAg (PBE-GGA, optimized geometry); values from VASP
! - E_form: 43.2 kJ per mole of atoms
! - Magnetic moment: 0.00 μB per cell
&SYSTEM
  ibrav = 0, nat = 8, ntyp = 3
/
ATOMIC_SPECIES
Sr 87.62 Sr.upf
Be 9.01 Be.upf
Ag 107.87 Ag.upf
ATOMIC_POSITIONS crystal
Sr 0.375 0.386 0.750
Sr 0.875 0.864 0.750
Sr 0.136 0.625 0.250
Sr 0.614 0.125 0.250
Be 0.500 0.500 0.000
Be 0.250 0.750 0.500
Ag 0.750 0.250 0.500
Ag 0.000 0.000 0.000
CELL_PARAMETERS angstrom
8.377 0.000 0.000
0.000 8.377 0.000
4.188 4.188 3.829